# La2Nd12Y7 GGA-PBE relaxed
data_La2Nd12Y7
_chemical_formula_sum 'La2 Nd12 Y7'
_cell_length_a 15.2970
_cell_length_b 15.2970
_cell_length_c 3.5957
_cell_angle_alpha 90.00
_cell_angle_beta 90.00
_cell_angle_gamma 120.00
_symmetry_space_group_name_H-M 'P -6'
_symmetry_Int_Tables_number 174
_symmetry_space_group_name_Hall 'P -6'
loop_
_atom_site_label
_atom_site_fract_x
_atom_site_fract_y
_atom_site_fract_z
_atom_site_occupancy
La1 0.0000 0.0000 0.0000 1
La2 0.3333 0.6667 0.5000 1
Nd1 0.0515 0.2544 0.5000 1
Nd2 0.1276 0.7132 0.0000 1
Nd3 0.4161 0.1496 0.0000 1
Nd4 0.4933 0.3952 0.5000 1
Y1 0.0958 0.4772 0.0000 1
Y2 0.2356 0.1888 0.5000 1
Y3 0.6667 0.3333 0.0000 1
# DOS at the Fermi energy   1.6511 states/eV/atom
# Formation enthalpy at 0 K   4 kJ per mole of atoms